Entry 1:
Computed, not measured: SrLi2Mn at its PBEsol-relaxed geometry at the meta-GGA SCAN level of DFT.

Lattice parameters (Å, degrees): 4.212 4.704 5.051 90.00 90.00 90.00
Space group Pmmm (No. 47)
Unique sites:
1 Sr 0.000 0.000 0.000 (multiplicity 1)
2 Li 0.000 0.500 0.500 (multiplicity 1)
3 Li 0.500 0.000 0.500 (multiplicity 1)
4 Mn 0.500 0.500 0.000 (multiplicity 1)

Its total magnetization is 3.92 μB per formula unit. The value obtained for the mass density is 2.596 g/cm3. The value obtained for the total energy is -44.20 eV per formula unit. For the energy of formation, the calculation gives 1.1 eV per formula unit.

Entry 2:
Computed, not measured: ZrMnRh2 at its PBEsol-relaxed geometry at the meta-GGA SCAN level of DFT.

Lattice parameters (Å, degrees): 6.256 6.256 6.256 90.00 90.00 90.00
Space group Fm-3m (No. 225)
Unique sites:
1 Zr 0.000 0.000 0.000 (multiplicity 4)
2 Mn 0.000 0.000 0.500 (multiplicity 4)
3 Rh 0.250 0.250 0.250 (multiplicity 8)

Its total magnetization is 4.87 μB per formula unit. The value obtained for the mass density is 9.549 g/cm3. The value obtained for the total energy is -119.93 eV per formula unit. For the energy of formation, the calculation gives -3.4 eV per formula unit.

Entry 3:
Computed, not measured: AgHgIr2 at its PBEsol-relaxed geometry at the meta-GGA SCAN level of DFT.

Lattice parameters (Å, degrees): 3.914 3.914 8.341 90.00 90.00 90.00
Space group I4/mmm (No. 139)
Unique sites:
1 Ag 0.000 0.000 0.000 (multiplicity 2)
2 Hg 0.000 0.000 0.500 (multiplicity 2)
3 Ir 0.000 0.500 0.250 (multiplicity 4)

Its total magnetization is 1.68 μB per formula unit. The value obtained for the mass density is 18.006 g/cm3. The value obtained for the total energy is -238.97 eV per formula unit. For the energy of formation, the calculation gives 2.8 eV per formula unit.

Entry 4:
Computed, not measured: Ba2YCoNi at its PBEsol-relaxed geometry at the meta-GGA SCAN level of DFT.

Lattice parameters (Å, degrees): 6.319 6.319 4.376 90.00 90.00 90.00
Space group P4/mmm (No. 123)
Unique sites:
1 Ba 0.000 0.500 0.000 (multiplicity 2)
2 Y 0.000 0.000 0.000 (multiplicity 1)
3 Co 0.000 0.000 0.500 (multiplicity 1)
4 Ni 0.500 0.500 0.500 (multiplicity 1)

Its total magnetization is 0.01 μB per formula unit. The value obtained for the mass density is 4.573 g/cm3. The value obtained for the total energy is -134.80 eV per formula unit. For the energy of formation, the calculation gives 5.6 eV per formula unit.

Entry 5:
Computed, not measured: KZrCo at its PBEsol-relaxed geometry at the meta-GGA SCAN level of DFT.

Lattice parameters (Å, degrees): 4.9397 4.9397 2.7671 90.00 90.00 120.00
Space group P3m1 (No. 156)
Unique sites:
1 K 0.0000 0.0000 0.0000 (multiplicity 1)
2 Zr 0.3333 0.6667 0.6932 (multiplicity 1)
3 Co 0.6667 0.3333 0.3597 (multiplicity 1)

Its total magnetization is 1.98 μB per formula unit. The value obtained for the mass density is 5.375 g/cm3. The value obtained for the total energy is -52.74 eV per formula unit. For the energy of formation, the calculation gives 3.6 eV per formula unit.

Entry 6:
Computed, not measured: BeAgI2 at its PBEsol-relaxed geometry at the meta-GGA SCAN level of DFT.

Lattice parameters (Å, degrees): 7.097 7.097 8.075 90.00 90.00 90.00
Space group I-42d (No. 122)
Unique sites:
1 Be 0.000 0.000 0.000 (multiplicity 4)
2 Ag 0.000 0.000 0.500 (multiplicity 4)
3 I 0.194 0.750 0.125 (multiplicity 8)

Its total magnetization is 0.00 μB per formula unit. The value obtained for the mass density is 6.053 g/cm3. The value obtained for the total energy is -108.35 eV per formula unit.